Record 1
Below is a geometry-optimized SrCaP2O structure, with properties calculated at the GGA-PBEsol level.

CIF file:
```
data_SrCaP2O
_chemical_formula_sum 'Sr1 Ca1 P2 O1'
_space_group_name_H-M_alt 'P 4/m m m'
_space_group_IT_number 123
_space_group_name_Hall '-P 4 2'
_cell_length_a 5.2332
_cell_length_b 5.2332
_cell_length_c 4.3160
_cell_angle_alpha 90.00
_cell_angle_beta 90.00
_cell_angle_gamma 90.00
loop_
_atom_site_label
_atom_site_type_symbol
_atom_site_fract_x
_atom_site_fract_y
_atom_site_fract_z
Sr1 Sr 0.0000 0.0000 0.0000
Ca1 Ca 0.5000 0.5000 0.5000
P1 P 0.0000 0.5000 0.5000
O1 O 0.5000 0.5000 0.0000
```

Summary:
Energy above the lowest structure with this stoichiometry, eV/atom: 0.000
E_form (uncorrected), kJ/mol of formula units: -169.6
N(E_F), states/eV/cell: 3.49
Uncorrected energy, eV/atom: -4.5127

Record 2
Below is a geometry-optimized SrCaVP2O8 structure, with properties calculated at the GGA-PBEsol level.

CIF file:
```
data_SrCaVP2O8
_chemical_formula_sum 'Sr2 Ca2 V2 P4 O16'
_space_group_name_H-M_alt 'P -1'
_space_group_IT_number 2
_cell_length_a 5.6386
_cell_length_b 6.8510
_cell_length_c 9.4053
_cell_angle_alpha 109.65
_cell_angle_beta 100.71
_cell_angle_gamma 98.51
loop_
_space_group_symop_operation_xyz
'x,y,z'
'-x,-y,-z'
loop_
_atom_site_label
_atom_site_type_symbol
_atom_site_fract_x
_atom_site_fract_y
_atom_site_fract_z
Sr1 Sr 0.2341 0.1955 0.4372
Ca1 Ca 0.4830 0.5763 0.8358
V1 V 0.1562 0.8506 0.0617
P1 P 0.1194 0.5840 0.2787
P2 P 0.3378 0.0332 0.7978
O1 O 0.0910 0.4133 0.1135
O2 O 0.1096 0.4554 0.6593
O3 O 0.1307 0.9712 0.8756
O4 O 0.1630 0.8061 0.2680
O5 O 0.2279 0.0115 0.6318
O6 O 0.3551 0.5608 0.3821
O7 O 0.4663 0.1073 0.1997
O8 O 0.4962 0.2630 0.9062
```

Summary:
E_form (uncorrected), kJ/mol of formula units: -3257.1
Uncorrected energy, eV/atom: -7.7648

Record 3
Below is a geometry-optimized CaTaP2O structure, with properties calculated at the GGA-PBEsol level.

CIF file:
```
data_CaTaP2O
_chemical_formula_sum 'Ca1 Ta1 P2 O1'
_space_group_name_H-M_alt 'P 4/m m m'
_space_group_IT_number 123
_space_group_name_Hall '-P 4 2'
_cell_length_a 4.7924
_cell_length_b 4.7924
_cell_length_c 3.8011
_cell_angle_alpha 90.00
_cell_angle_beta 90.00
_cell_angle_gamma 90.00
loop_
_atom_site_label
_atom_site_type_symbol
_atom_site_fract_x
_atom_site_fract_y
_atom_site_fract_z
Ca1 Ca 0.0000 0.0000 0.0000
Ta1 Ta 0.5000 0.5000 0.0000
P1 P 0.0000 0.5000 0.5000
O1 O 0.5000 0.5000 0.5000
```

Summary:
E_form (uncorrected), kJ/mol of formula units: -168.9
N(E_F), states/eV/cell: 3.71
Uncorrected energy, eV/atom: -6.6533

Record 4
Below is a geometry-optimized CaTcP2O structure, with properties calculated at the GGA-PBEsol level.

CIF file:
```
data_CaTcP2O
_chemical_formula_sum 'Ca1 Tc1 P2 O1'
_space_group_name_H-M_alt 'P 4/m m m'
_space_group_IT_number 123
_space_group_name_Hall '-P 4 2'
_cell_length_a 5.0346
_cell_length_b 5.0346
_cell_length_c 3.9430
_cell_angle_alpha 90.00
_cell_angle_beta 90.00
_cell_angle_gamma 90.00
loop_
_atom_site_label
_atom_site_type_symbol
_atom_site_fract_x
_atom_site_fract_y
_atom_site_fract_z
Ca1 Ca 0.0000 0.0000 0.0000
Tc1 Tc 0.5000 0.5000 0.5000
P1 P 0.0000 0.5000 0.0000
O1 O 0.0000 0.0000 0.5000
```

Summary:
E_form (uncorrected), kJ/mol of formula units: 544.3
N(E_F), states/eV/cell: 4.49
Uncorrected energy, eV/atom: -4.9180

Record 5
Below is a geometry-optimized CaThP2O8 structure, with properties calculated at the GGA-PBEsol level.

CIF file:
```
data_CaThP2O8
_chemical_formula_sum 'Ca2 Th2 P4 O16'
_space_group_name_H-M_alt 'P -1'
_space_group_IT_number 2
_cell_length_a 6.3657
_cell_length_b 6.6362
_cell_length_c 6.9196
_cell_angle_alpha 88.45
_cell_angle_beta 88.28
_cell_angle_gamma 76.74
loop_
_space_group_symop_operation_xyz
'x,y,z'
'-x,-y,-z'
loop_
_atom_site_label
_atom_site_type_symbol
_atom_site_fract_x
_atom_site_fract_y
_atom_site_fract_z
Ca1 Ca 0.0847 0.2145 0.1503
Th1 Th 0.3825 0.2733 0.6710
P1 P 0.1201 0.6981 0.3388
P2 P 0.3924 0.8014 0.8305
O1 O 0.0036 0.6116 0.1772
O2 O 0.0574 0.2387 0.5024
O3 O 0.2054 0.9890 0.8753
O4 O 0.2310 0.8721 0.2711
O5 O 0.2920 0.6165 0.7980
O6 O 0.3177 0.5315 0.4108
O7 O 0.4327 0.2493 0.0150
O8 O 0.4978 0.1261 0.3555
```

Summary:
E_form (uncorrected), kJ/mol of formula units: -3470.0
N(E_F), states/eV/cell: 0.00
Uncorrected energy, eV/atom: -8.3151

Record 6
Below is a geometry-optimized CaTiP2O structure, with properties calculated at the GGA-PBEsol level.

CIF file:
```
data_CaTiP2O
_chemical_formula_sum 'Ca1 Ti1 P2 O1'
_space_group_name_H-M_alt 'P 4/m m m'
_space_group_IT_number 123
_space_group_name_Hall '-P 4 2'
_cell_length_a 4.8826
_cell_length_b 4.8826
_cell_length_c 3.7443
_cell_angle_alpha 90.00
_cell_angle_beta 90.00
_cell_angle_gamma 90.00
loop_
_atom_site_label
_atom_site_type_symbol
_atom_site_fract_x
_atom_site_fract_y
_atom_site_fract_z
Ca1 Ca 0.0000 0.0000 0.0000
Ti1 Ti 0.5000 0.5000 0.5000
P1 P 0.0000 0.5000 0.5000
O1 O 0.5000 0.5000 0.0000
```

Summary:
Energy above the lowest structure with this stoichiometry, eV/atom: 0.000
E_form (uncorrected), kJ/mol of formula units: -530.7
N(E_F), states/eV/cell: 5.42
Uncorrected energy, eV/atom: -6.5576

Number 6 is which compound?
CaTiP2O

What is the formula in the fourth record?
CaTcP2O

The lowest uncorrected energy belongs to which entry?
CaThP2O8